# 1
Computed, not measured: an optimized crystal structure of Cu2HgF6 at the PBE-GGA level of DFT.

Summary:
Raw formation energy in kJ per mole of atoms: -140.7
Total magnetization in Bohr magnetons per cell: 2.00
Distance to the lowest polymorph of the same formula in meV per atom: 0

Cell: 4.8636 5.3926 5.3926 Å, 120.00 90.00 90.00°
Positions (direct):
Cu1 0.5000 0.3333 0.6667
Cu2 0.5000 0.6667 0.3333
F1 0.2802 0.0000 0.6408
F2 0.7198 0.6408 0.6408
F3 0.7198 0.0000 0.3592
F4 0.7198 0.3592 0.0000
F5 0.2802 0.3592 0.3592
F6 0.2802 0.6408 0.0000
Hg1 0.0000 0.0000 0.0000

***

# 2
Computed, not measured: an optimized crystal structure of Np3NbTl3Se8 at the PBE-GGA level of DFT.

Summary:
Raw formation energy in kJ per mole of atoms: -83.4
Total magnetization in Bohr magnetons per cell: 13.00

Cell: 8.0764 8.0757 9.2357 Å, 115.94 90.00 120.00°
Positions (direct):
Se1 0.2237 0.9742 0.6977
Se2 0.7762 0.5524 0.3022
Se3 0.7505 0.9742 0.6977
Se4 0.2636 0.5273 0.2913
Se5 0.7763 0.0258 0.3023
Se6 0.2495 0.0258 0.3023
Se7 0.7364 0.4727 0.7087
Se8 0.2238 0.4476 0.6978
Np1 0.5000 0.0000 0.5000
Np2 0.0000 0.5000 0.5000
Np3 0.5000 0.5000 0.5000
Nb1 0.0000 0.0000 0.5000
Tl1 0.5000 0.5000 0.0000
Tl2 0.0000 0.0000 0.0000
Tl3 0.0000 0.5000 0.0000

***

# 3
Computed, not measured: an optimized crystal structure of Sr3Li2Pb3 at the PBE-GGA level of DFT.

Summary:
ΔH_f (0 K) in eV/atom: -0.4659
Total magnetization in Bohr magnetons per cell: 0.00

Cell: 4.9653 6.4835 16.9272 Å, 90.00 90.00 112.51°
Positions (direct):
Pb1 0.3301 0.6603 0.2500
Pb2 0.6152 0.2304 0.4575
Pb3 0.6699 0.3397 0.7500
Pb4 0.3848 0.7696 0.9575
Pb5 0.3848 0.7696 0.5425
Pb6 0.6152 0.2304 0.0425
Sr1 0.9100 0.8201 0.1094
Sr2 0.9100 0.8201 0.3906
Sr3 0.0900 0.1799 0.8906
Sr4 0.0900 0.1799 0.6094
Sr5 0.3746 0.7492 0.7500
Sr6 0.6254 0.2508 0.2500
Li1 0.7869 0.5739 0.9079
Li2 0.2131 0.4261 0.0921
Li3 0.2131 0.4261 0.4079
Li4 0.7869 0.5739 0.5921

***

# 4
Computed, not measured: an optimized crystal structure of InRe2W at the PBE-GGA level of DFT.

Summary:
ΔH_f (0 K) in eV/atom: 0.4348
Total magnetization in Bohr magnetons per cell: 0.00

Cell: 5.3407 5.3407 5.3407 Å, 145.10 130.45 62.03°
Positions (direct):
Re1 0.7489 0.2489 0.5000
Re2 0.9911 0.9911 0.0000
In1 0.2490 0.7490 0.5000
W1 0.5110 0.5110 0.0000

***

# 5
Computed, not measured: an optimized crystal structure of LiZn2Ga at the PBE-GGA level of DFT.

Summary:
ΔH_f (0 K) in eV/atom: -0.1437
Total magnetization in Bohr magnetons per cell: 0.00

Cell: 4.5488 4.6758 5.8125 Å, 90.00 90.00 90.00°
Positions (direct):
Zn1 0.7500 0.9223 0.1192
Zn2 0.2500 0.5950 0.1249
Zn3 0.2500 0.0777 0.8808
Zn4 0.7500 0.4050 0.8751
Li1 0.7500 0.9186 0.6291
Li2 0.2500 0.0814 0.3709
Ga1 0.2500 0.5781 0.6279
Ga2 0.7500 0.4219 0.3721

***

# 6
Computed, not measured: an optimized crystal structure of Cs2Rb2Au2O at the PBE-GGA level of DFT.

Summary:
Raw formation energy in kJ per mole of atoms: -55.5
Total magnetization in Bohr magnetons per cell: 0.07

Cell: 4.5339 9.0360 7.8232 Å, 64.36 90.00 75.47°
Positions (direct):
Au1 0.8420 0.3160 0.3431
Au2 0.1580 0.6840 0.6569
Cs1 0.4991 0.0017 0.2489
Cs2 0.5009 0.9983 0.7511
O1 0.0000 0.0000 0.0000
Rb1 0.1746 0.6508 0.1774
Rb2 0.8254 0.3492 0.8226